DFT (GGA-PBE) results for crystalline Nb2InCoPd at its relaxed geometry.

Cell: 4.5085 4.7402 4.5085 Å, 90.00 90.00 90.00°
Fractional positions:
1 Nb 0.0000 0.0000 0.5000
2 Nb 0.5000 0.0000 0.0000
3 Co 0.0000 0.0000 0.0000
4 Pd 0.0000 0.5000 0.0000
5 In 0.5000 0.5000 0.5000

## Properties
Crystal system: tetragonal
Energy of formation from the pure elements, eV/f.u.: 2.324